Record 1
A relaxed LiCeNp2N5 crystal, computed with PBE.

It has space group I4/mcm (No. 140), with a = 6.3117 Å, b = 6.3117 Å, c = 11.0104 Å, α = 90.00°, β = 90.00° and γ = 90.00°. Symmetry generates all atoms from Li at (0.0000, 0.5000, 0.2500), Ce at (0.0000, 0.0000, 0.2500), Np at (0.1622, 0.3378, 0.0000), N at (0.0000, 0.0000, 0.0000) and N at (0.1637, 0.3363, 0.3700).

The calculation puts the volume at 12.18 Å³/atom. The calculation puts the magnetic moment at 4.0 μB per formula unit.

Record 2
A relaxed LiCe2NpN5 crystal, computed with PBE.

It has space group Cmc2_1 (No. 36), with a = 3.4856 Å, b = 13.2448 Å, c = 10.3301 Å, α = 90.00°, β = 90.00° and γ = 90.00°. Symmetry generates all atoms from Li at (0.0000, 0.0214, 0.0000), Ce at (0.0000, 0.3722, 0.8357), Ce at (0.0000, 0.3950, 0.2210), Np at (0.0000, 0.2960, 0.5428), N at (0.0000, 0.0043, 0.3032), N at (0.0000, 0.1450, 0.5330), N at (0.0000, 0.2014, 0.9098), N at (0.0000, 0.2212, 0.1812) and N at (0.0000, 0.4386, 0.5806).

The calculation puts the volume at 13.25 Å³/atom. The calculation puts the magnetic moment at 1.0 μB per formula unit.

Record 3
A relaxed LiCeNp4N8 crystal, computed with PBE.

It has space group R3m (No. 160, hexagonal axes), with a = 6.9124 Å, b = 6.9124 Å, c = 15.3476 Å, α = 90.00°, β = 90.00° and γ = 120.00°. Symmetry generates all atoms from Li at (0.0000, 0.0000, 0.0000), Ce at (0.0000, 0.0000, 0.3870), Np at (0.0000, 0.0000, 0.6114), Np at (0.1676, 0.3352, 0.8298), N at (0.0000, 0.0000, 0.2353), N at (0.0000, 0.0000, 0.7561), N at (0.0407, 0.5203, 0.7589) and N at (0.1774, 0.3549, 0.5650).

The calculation puts the volume at 15.12 Å³/atom. The calculation puts the magnetic moment at 9.0 μB per formula unit.

Record 4
A relaxed LiCeNO crystal, computed with PBE.

It has space group P4/nmm (No. 129, origin choice 2), with a = 3.5425 Å, b = 3.5425 Å, c = 7.7043 Å, α = 90.00°, β = 90.00° and γ = 90.00°. Symmetry generates all atoms from Li at (0.2500, 0.7500, 0.0000), Ce at (0.2500, 0.2500, 0.3157), N at (0.2500, 0.2500, 0.8375) and O at (0.2500, 0.7500, 0.5000).

The calculation puts the volume at 12.09 Å³/atom. The calculation puts the magnetic moment at 0.0 μB per formula unit.

Record 5
A relaxed Li2Ce3N4O2 crystal, computed with PBE.

It has space group I4/mmm (No. 139), with a = 3.7822 Å, b = 3.7822 Å, c = 18.8702 Å, α = 90.00°, β = 90.00° and γ = 90.00°. Symmetry generates all atoms from Li at (0.0000, 0.0000, 0.1049), Ce at (0.0000, 0.0000, 0.3272), Ce at (0.0000, 0.0000, 0.5000), N at (0.0000, 0.5000, 0.0853) and O at (0.0000, 0.0000, 0.2096).

The calculation puts the volume at 12.27 Å³/atom. The calculation puts the magnetic moment at 0.0 μB per formula unit.

Record 6
A relaxed Li2CeOsN4 crystal, computed with PBE.

It has space group I-42m (No. 121), with a = 5.4704 Å, b = 5.4704 Å, c = 6.5414 Å, α = 90.00°, β = 90.00° and γ = 90.00°. Symmetry generates all atoms from Li at (0.0000, 0.5000, 0.2500), Ce at (0.0000, 0.0000, 0.0000), Os at (0.0000, 0.0000, 0.5000) and N at (0.1995, 0.1995, 0.6546).

The calculation puts the volume at 12.23 Å³/atom. The calculation puts the magnetic moment at 1.4 μB per formula unit.

Record 7
A relaxed LiCe2P2N6 crystal, computed with PBE.

It has space group R-3m (No. 166, hexagonal axes), with a = 5.4631 Å, b = 5.4631 Å, c = 16.7996 Å, α = 90.00°, β = 90.00° and γ = 120.00°. Symmetry generates all atoms from Li at (0.0000, 0.0000, 0.0000), Ce at (0.0000, 0.0000, 0.2054), P at (0.0000, 0.0000, 0.4218) and N at (0.0007, 0.5003, 0.2425).

The calculation puts the volume at 13.16 Å³/atom. The calculation puts the magnetic moment at 1.0 μB per formula unit.

Record 8
A relaxed LiCe3P2N6 crystal, computed with PBE.

It has space group P-3m1 (No. 164), with a = 5.4861 Å, b = 5.4861 Å, c = 6.0310 Å, α = 90.00°, β = 90.00° and γ = 120.00°. Symmetry generates all atoms from Li at (0.0000, 0.0000, 0.0000), Ce at (0.0000, 0.0000, 0.5000), Ce at (0.3333, 0.6667, 0.1354), P at (0.3333, 0.6667, 0.6605) and N at (0.1754, 0.3508, 0.7839).

The calculation puts the volume at 13.10 Å³/atom. The calculation puts the magnetic moment at 1.1 μB per formula unit.

Record 9
A relaxed Li4CePa3N8 crystal, computed with PBE.

It has space group R-3m (No. 166, hexagonal axes), with a = 7.0955 Å, b = 7.0955 Å, c = 15.0340 Å, α = 90.00°, β = 90.00° and γ = 120.00°. Symmetry generates all atoms from Li at (0.0000, 0.0000, 0.0000), Li at (0.0000, 0.5000, 0.0000), Ce at (0.0000, 0.0000, 0.5000), Pa at (0.0000, 0.5000, 0.5000), N at (0.0000, 0.0000, 0.2397) and N at (0.0110, 0.5055, 0.7625).

The calculation puts the volume at 13.66 Å³/atom. The calculation puts the magnetic moment at 0.0 μB per formula unit.

Record 10
A relaxed LiCePa2N5 crystal, computed with PBE.

It has space group Cmc2_1 (No. 36), with a = 3.5348 Å, b = 13.0127 Å, c = 10.6716 Å, α = 90.00°, β = 90.00° and γ = 90.00°. Symmetry generates all atoms from Li at (0.0000, 0.0281, 0.0000), Ce at (0.0000, 0.3501, 0.9404), Pa at (0.0000, 0.3290, 0.6334), Pa at (0.0000, 0.4057, 0.2512), N at (0.0000, 0.0021, 0.3172), N at (0.0000, 0.1627, 0.6002), N at (0.0000, 0.1842, 0.0043), N at (0.0000, 0.2271, 0.2741) and N at (0.0000, 0.4982, 0.5802).

The calculation puts the volume at 13.64 Å³/atom. The calculation puts the magnetic moment at 0.1 μB per formula unit.

Record 11
A relaxed Li3CePa2N6 crystal, computed with PBE.

It has space group C2/m (No. 12), with a = 6.1503 Å, b = 10.6118 Å, c = 5.4193 Å, α = 90.00°, β = 112.53° and γ = 90.00°. Symmetry generates all atoms from Li at (0.0000, 0.0000, 0.0000), Li at (0.0000, 0.3284, 0.0000), Ce at (0.0000, 0.5000, 0.5000), Pa at (0.0000, 0.1666, 0.5000), N at (0.2284, 0.0000, 0.7179) and N at (0.2443, 0.3278, 0.7165).

The calculation puts the volume at 13.61 Å³/atom. The calculation puts the magnetic moment at 0.0 μB per formula unit.

Record 12
A relaxed LiCe3Pa2N6 crystal, computed with PBE.

It has space group C2/m (No. 12), with a = 6.0368 Å, b = 10.4570 Å, c = 6.1697 Å, α = 90.00°, β = 108.81° and γ = 90.00°. Symmetry generates all atoms from Li at (0.0000, 0.0000, 0.0000), Ce at (0.0000, 0.1623, 0.5000), Ce at (0.0000, 0.5000, 0.5000), Pa at (0.0000, 0.3327, 0.0000), N at (0.2185, 0.5000, 0.2301) and N at (0.2419, 0.3205, 0.7663).

The calculation puts the volume at 15.36 Å³/atom. The calculation puts the magnetic moment at 1.0 μB per formula unit.

Number 1: formation energy without anion corrections -23.04 kcal/mol of atoms. Number 2: formation energy without anion corrections -24.33 kcal/mol of atoms. Number 3: formation energy without anion corrections -23.05 kcal/mol of atoms. Number 4: formation energy without anion corrections -38.02 kcal/mol of atoms. Number 5: formation energy without anion corrections -30.96 kcal/mol of atoms. Number 6: formation energy without anion corrections -11.15 kcal/mol of atoms. Number 7: formation energy without anion corrections -15.72 kcal/mol of atoms. Number 8: formation energy without anion corrections -24.32 kcal/mol of atoms. Number 9: formation energy without anion corrections -26.67 kcal/mol of atoms. Number 10: formation energy without anion corrections -28.86 kcal/mol of atoms. Number 11: formation energy without anion corrections -25.56 kcal/mol of atoms. Number 12: formation energy without anion corrections -32.34 kcal/mol of atoms.